No. 1
Material: CrSnH3
Method: DFT, PBE
State: optimized geometry

```
data_CrSnH3
_space_group_name_H-M_alt 'P m -3 m'
_space_group_IT_number 221
_space_group_name_Hall '-P 4 2 3'
_cell_length_a 4.056
_cell_length_b 4.056
_cell_length_c 4.056
_cell_angle_alpha 90.00
_cell_angle_beta 90.00
_cell_angle_gamma 90.00
loop_
_atom_site_label
_atom_site_type_symbol
_atom_site_fract_x
_atom_site_fract_y
_atom_site_fract_z
_atom_site_occupancy
Cr1 Cr 0.000 0.000 0.000 1
Sn1 Sn 0.500 0.500 0.500 1
H1 H 0.000 0.500 0.500 1
```

Magnetization in μB/f.u.: 5.1
Fermi-level density of states in states/eV/f.u.: 1.33
Calculated total energy in eV/cell: -19.32
Calculated volume in Å³/atom: 13.34
Energy above the lowest structure with this stoichiometry in meV per atom: 582

---

No. 2
Material: RbMn2V
Method: DFT, PBE
State: optimized geometry

```
data_RbMn2V
_space_group_name_H-M_alt 'F m -3 m'
_space_group_IT_number 225
_space_group_name_Hall '-F 4 2 3'
_cell_length_a 7.051
_cell_length_b 7.051
_cell_length_c 7.051
_cell_angle_alpha 90.00
_cell_angle_beta 90.00
_cell_angle_gamma 90.00
loop_
_atom_site_label
_atom_site_type_symbol
_atom_site_fract_x
_atom_site_fract_y
_atom_site_fract_z
_atom_site_occupancy
Rb1 Rb 0.000 0.000 0.000 1
Mn1 Mn 0.250 0.250 0.250 1
V1 V 0.000 0.000 0.500 1
```

Magnetization in μB/f.u.: 4.4
Fermi-level density of states in states/eV/f.u.: 3.38
ΔH_f (0 K) in meV per atom: 1324
Calculated total energy in eV/cell: -92.51
Calculated volume in Å³/atom: 21.91
Energy above the lowest structure with this stoichiometry in meV per atom: 129

---

No. 3
Material: BiPSeN2
Method: DFT, PBE
State: optimized geometry

```
data_BiPSeN2
_space_group_name_H-M_alt 'P 4/m m m'
_space_group_IT_number 123
_space_group_name_Hall '-P 4 2'
_cell_length_a 4.208
_cell_length_b 4.208
_cell_length_c 6.250
_cell_angle_alpha 90.00
_cell_angle_beta 90.00
_cell_angle_gamma 90.00
loop_
_atom_site_label
_atom_site_type_symbol
_atom_site_fract_x
_atom_site_fract_y
_atom_site_fract_z
_atom_site_occupancy
Bi1 Bi 0.000 0.000 0.000 1
P1 P 0.500 0.500 0.500 1
Se1 Se 0.000 0.000 0.500 1
N1 N 0.000 0.500 0.000 1
```

Magnetization in μB/f.u.: 2.9
Formation energy without anion corrections in eV per formula unit: 9.4
Fermi-level density of states in states/eV/f.u.: 3.59
Calculated total energy in eV/cell: -19.99
Calculated volume in Å³/atom: 22.13
Energy above the lowest structure with this stoichiometry in meV per atom: 832

---

No. 4
Material: Cu2RePt
Method: DFT, PBE
State: optimized geometry

```
data_Cu2RePt
_space_group_name_H-M_alt 'F -4 3 m'
_space_group_IT_number 216
_space_group_name_Hall 'F -4 2 3'
_cell_length_a 6.067
_cell_length_b 6.067
_cell_length_c 6.067
_cell_angle_alpha 90.00
_cell_angle_beta 90.00
_cell_angle_gamma 90.00
loop_
_atom_site_label
_atom_site_type_symbol
_atom_site_fract_x
_atom_site_fract_y
_atom_site_fract_z
_atom_site_occupancy
Cu1 Cu 0.000 0.000 0.000 1
Cu2 Cu 0.250 0.250 0.250 1
Re1 Re 0.000 0.000 0.500 1
Pt1 Pt 0.250 0.250 0.750 1
```

Magnetization in μB/f.u.: 0.7
Fermi-level density of states in states/eV/f.u.: 3.86
ΔH_f (0 K) in meV per atom: 297
Calculated total energy in eV/cell: -101.98
Calculated volume in Å³/atom: 13.96
Energy above the lowest structure with this stoichiometry in meV per atom: 272

---

No. 5
Material: Ca3P3Pt2
Method: DFT, PBE
State: optimized geometry

```
data_Ca3P3Pt2
_space_group_name_H-M_alt 'C m c m'
_space_group_IT_number 63
_space_group_name_Hall '-C 2c 2'
_cell_length_a 4.157
_cell_length_b 10.606
_cell_length_c 14.947
_cell_angle_alpha 90.00
_cell_angle_beta 90.00
_cell_angle_gamma 90.00
loop_
_atom_site_label
_atom_site_type_symbol
_atom_site_fract_x
_atom_site_fract_y
_atom_site_fract_z
_atom_site_occupancy
Ca1 Ca 0.000 0.059 0.250 1
Ca2 Ca 0.000 0.350 0.095 1
P1 P 0.000 0.074 0.054 1
P2 P 0.000 0.230 0.750 1
Pt1 Pt 0.000 0.363 0.617 1
```

Magnetization in μB/f.u.: 0.0
Fermi-level density of states in states/eV/f.u.: 1.64
ΔH_f (0 K) in meV per atom: -1098
Calculated total energy in eV/cell: -172.39
Calculated volume in Å³/atom: 20.59

---

No. 6
Material: ZrCdMo4
Method: DFT, PBE
State: optimized geometry

```
data_ZrCdMo4
_space_group_name_H-M_alt 'F -4 3 m'
_space_group_IT_number 216
_space_group_name_Hall 'F -4 2 3'
_cell_length_a 7.579
_cell_length_b 7.579
_cell_length_c 7.579
_cell_angle_alpha 90.00
_cell_angle_beta 90.00
_cell_angle_gamma 90.00
loop_
_atom_site_label
_atom_site_type_symbol
_atom_site_fract_x
_atom_site_fract_y
_atom_site_fract_z
_atom_site_occupancy
Zr1 Zr 0.000 0.000 0.000 1
Cd1 Cd 0.250 0.250 0.750 1
Mo1 Mo 0.124 0.124 0.376 1
```

Magnetization in μB/f.u.: 0.0
Fermi-level density of states in states/eV/f.u.: 7.25
ΔH_f (0 K) in meV per atom: 169
Calculated total energy in eV/cell: -207.11
Calculated volume in Å³/atom: 18.14

---

No. 7
Material: CuOsN2
Method: DFT, PBE
State: optimized geometry

```
data_CuOsN2
_space_group_name_H-M_alt 'F m -3 m'
_space_group_IT_number 225
_space_group_name_Hall '-F 4 2 3'
_cell_length_a 5.275
_cell_length_b 5.275
_cell_length_c 5.275
_cell_angle_alpha 90.00
_cell_angle_beta 90.00
_cell_angle_gamma 90.00
loop_
_atom_site_label
_atom_site_type_symbol
_atom_site_fract_x
_atom_site_fract_y
_atom_site_fract_z
_atom_site_occupancy
Cu1 Cu 0.000 0.000 0.000 1
Os1 Os 0.000 0.000 0.500 1
N1 N 0.250 0.250 0.250 1
```

Magnetization in μB/f.u.: 0.0
Formation energy without anion corrections in eV per formula unit: 5.3
Fermi-level density of states in states/eV/f.u.: 6.28
Calculated total energy in eV/cell: -106.51
Calculated volume in Å³/atom: 9.17
Energy above the lowest structure with this stoichiometry in meV per atom: 852

---

No. 8
Material: CoSb4Au
Method: DFT, PBE
State: optimized geometry

```
data_CoSb4Au
_space_group_name_H-M_alt 'F -4 3 m'
_space_group_IT_number 216
_space_group_name_Hall 'F -4 2 3'
_cell_length_a 8.624
_cell_length_b 8.624
_cell_length_c 8.624
_cell_angle_alpha 90.00
_cell_angle_beta 90.00
_cell_angle_gamma 90.00
loop_
_atom_site_label
_atom_site_type_symbol
_atom_site_fract_x
_atom_site_fract_y
_atom_site_fract_z
_atom_site_occupancy
Co1 Co 0.000 0.000 0.000 1
Sb1 Sb 0.124 0.124 0.624 1
Au1 Au 0.250 0.250 0.250 1
```

Magnetization in μB/f.u.: 2.3
Formation energy without anion corrections in eV per formula unit: 5.1
Fermi-level density of states in states/eV/f.u.: 4.08
Calculated total energy in eV/cell: -87.04
Calculated volume in Å³/atom: 26.72